Below is a relaxed GdDyPuHg crystal, with properties calculated at the PBE-GGA level.

Summary:
Volume (A^3/atom): 27.30
Energy relative to the elements (kJ per mole of atoms): 2
Total magnetization (μB per atom): 0.19
ρ (Mg/m³): 11.62
Raw total energy (eV/f.u.): -33.22
DOS at the Fermi energy (states/eV/f.u.): 15.2

abc: 5.365 5.365 5.365
angles: 60.00 60.00 60.00
Positions (direct):
Dy  0.000  0.000  0.000
Hg  0.250  0.250  0.250
Pu  0.750  0.750  0.750
Gd  0.500  0.500  0.500